A relaxed HfNi2P crystal, computed with GGA-PBE.

Properties
total moment: 0.0 Bohr magnetons per cell
space-group type: No. 62
formation energy from the elements: -0.8498 eV/atom
calculated density: 10.2 g/cm³

Cell: 13.559 6.391 4.891 Å, 90.00 90.00 90.00°
Atoms (fractional coordinates):
Hf 0.104 0.250 0.249
Hf 0.140 0.750 0.483
Hf 0.360 0.250 0.983
Hf 0.396 0.750 0.749
Hf 0.604 0.250 0.251
Hf 0.640 0.750 0.017
Hf 0.860 0.250 0.517
Hf 0.896 0.750 0.751
Ni 0.036 0.054 0.738
Ni 0.036 0.446 0.738
Ni 0.215 0.552 0.967
Ni 0.215 0.948 0.967
Ni 0.285 0.052 0.467
Ni 0.285 0.448 0.467
Ni 0.464 0.554 0.238
Ni 0.464 0.946 0.238
Ni 0.536 0.054 0.762
Ni 0.536 0.446 0.762
Ni 0.715 0.552 0.533
Ni 0.715 0.948 0.533
Ni 0.785 0.052 0.033
Ni 0.785 0.448 0.033
Ni 0.964 0.554 0.262
Ni 0.964 0.946 0.262
P 0.071 0.750 0.991
P 0.182 0.250 0.736
P 0.318 0.750 0.236
P 0.429 0.250 0.491
P 0.571 0.750 0.509
P 0.682 0.250 0.764
P 0.818 0.750 0.264
P 0.929 0.250 0.009